# PBE-GGA HfZn2In, optimized geometry
data_HfZn2In
_symmetry_space_group_name_H-M 'P 4/m m m'
_symmetry_Int_Tables_number 123
_symmetry_space_group_name_Hall '-P 4 2'
_cell_length_a 4.207
_cell_length_b 4.207
_cell_length_c 4.115
_cell_angle_alpha 90.00
_cell_angle_beta 90.00
_cell_angle_gamma 90.00
loop_
_atom_site_label
_atom_site_type_symbol
_atom_site_fract_x
_atom_site_fract_y
_atom_site_fract_z
_atom_site_occupancy
Hf1 Hf 0.000 0.000 0.000 1
Zn1 Zn 0.000 0.500 0.500 1
In1 In 0.500 0.500 0.000 1
# - DFT formation energy: -184 meV/atom
# - Theoretical density: 9.7 g/cm3

---

# PBE-GGA PrNdAlNi, optimized geometry
data_PrNdAlNi
_symmetry_space_group_name_H-M 'F -4 3 m'
_symmetry_Int_Tables_number 216
_symmetry_space_group_name_Hall 'F -4 2 3'
_cell_length_a 7.311
_cell_length_b 7.311
_cell_length_c 7.311
_cell_angle_alpha 90.00
_cell_angle_beta 90.00
_cell_angle_gamma 90.00
loop_
_atom_site_label
_atom_site_type_symbol
_atom_site_fract_x
_atom_site_fract_y
_atom_site_fract_z
_atom_site_occupancy
Pr1 Pr 0.000 0.000 0.000 1
Nd1 Nd 0.000 0.000 0.500 1
Al1 Al 0.250 0.250 0.250 1
Ni1 Ni 0.250 0.250 0.750 1
# - DFT formation energy: -176 meV/atom
# - Theoretical density: 6.3 g/cm3

---

# PBE-GGA UH10CSe2N4O8, optimized geometry
data_UH10CSe2N4O8
_symmetry_space_group_name_H-M 'P -1'
_symmetry_Int_Tables_number 2
_cell_length_a 7.187
_cell_length_b 9.563
_cell_length_c 9.812
_cell_angle_alpha 88.82
_cell_angle_beta 70.69
_cell_angle_gamma 76.39
loop_
_symmetry_equiv_pos_as_xyz
'x,y,z'
'-x,-y,-z'
loop_
_atom_site_label
_atom_site_type_symbol
_atom_site_fract_x
_atom_site_fract_y
_atom_site_fract_z
_atom_site_occupancy
U1 U 0.247 0.030 0.195 1
H1 H 0.031 0.590 0.770 1
H2 H 0.088 0.251 0.501 1
H3 H 0.168 0.741 0.904 1
H4 H 0.207 0.676 0.291 1
H5 H 0.228 0.526 0.179 1
H6 H 0.246 0.536 0.621 1
H7 H 0.303 0.314 0.492 1
H8 H 0.347 0.590 0.903 1
H9 H 0.382 0.700 0.760 1
H10 H 0.393 0.755 0.920 1
C1 C 0.040 0.411 0.654 1
Se1 Se 0.275 0.279 0.938 1
Se2 Se 0.281 0.864 0.524 1
N1 N 0.124 0.508 0.695 1
N2 N 0.151 0.319 0.540 1
N3 N 0.151 0.592 0.271 1
N4 N 0.325 0.697 0.872 1
O1 O 0.023 0.863 0.609 1
O2 O 0.091 0.248 0.096 1
O3 O 0.095 0.939 0.128 1
O4 O 0.291 0.840 0.344 1
O5 O 0.336 0.425 0.986 1
O6 O 0.395 0.115 0.273 1
O7 O 0.403 0.701 0.559 1
O8 O 0.465 0.135 0.964 1
# - VASP energy: -6.13 eV per atom
# - Theoretical density: 3.2 g/cm3

---

# PBE-GGA PaNiH, optimized geometry
data_PaNiH
_symmetry_space_group_name_H-M 'P -6 m 2'
_symmetry_Int_Tables_number 187
_symmetry_space_group_name_Hall 'P -6 2'
_cell_length_a 3.7703
_cell_length_b 3.7703
_cell_length_c 3.5963
_cell_angle_alpha 90.00
_cell_angle_beta 90.00
_cell_angle_gamma 120.00
loop_
_atom_site_label
_atom_site_type_symbol
_atom_site_fract_x
_atom_site_fract_y
_atom_site_fract_z
_atom_site_occupancy
Pa1 Pa 0.0000 0.0000 0.0000 1
Ni1 Ni 0.6667 0.3333 0.5000 1
H1 H 0.3333 0.6667 0.0000 1
# - VASP energy: -6.31 eV per atom
# - Theoretical density: 10.9 g/cm3

---

# PBE-GGA TbPu2Cr2C4, optimized geometry
data_TbPu2Cr2C4
_symmetry_space_group_name_H-M 'C 1 2/m 1'
_symmetry_Int_Tables_number 12
_cell_length_a 13.266
_cell_length_b 3.403
_cell_length_c 5.975
_cell_angle_alpha 90.00
_cell_angle_beta 109.05
_cell_angle_gamma 90.00
loop_
_symmetry_equiv_pos_as_xyz
'x,y,z'
'-x,-y,-z'
'-x,y,-z'
'x,-y,z'
'x+1/2,y+1/2,z'
'-x+1/2,-y+1/2,-z'
'-x+1/2,y+1/2,-z'
'x+1/2,-y+1/2,z'
loop_
_atom_site_label
_atom_site_type_symbol
_atom_site_fract_x
_atom_site_fract_y
_atom_site_fract_z
_atom_site_occupancy
Tb1 Tb 0.000 0.000 0.000 1
Pu1 Pu 0.130 0.000 0.539 1
Cr1 Cr 0.181 0.500 0.003 1
C1 C 0.053 0.500 0.756 1
C2 C 0.215 0.000 0.178 1
# - DFT formation energy: 1 meV/atom
# - Theoretical density: 10.4 g/cm3

---

# PBE-GGA Na2LaGe2, optimized geometry
data_Na2LaGe2
_symmetry_space_group_name_H-M 'P 4/m b m'
_symmetry_Int_Tables_number 127
_symmetry_space_group_name_Hall '-P 4 2ab'
_cell_length_a 7.646
_cell_length_b 7.646
_cell_length_c 4.839
_cell_angle_alpha 90.00
_cell_angle_beta 90.00
_cell_angle_gamma 90.00
loop_
_atom_site_label
_atom_site_type_symbol
_atom_site_fract_x
_atom_site_fract_y
_atom_site_fract_z
_atom_site_occupancy
Na1 Na 0.164 0.336 0.000 1
La1 La 0.000 0.000 0.500 1
Ge1 Ge 0.113 0.613 0.500 1
# - DFT formation energy: -159 meV/atom
# - Theoretical density: 3.9 g/cm3

---

# PBE-GGA GaCo3H, optimized geometry
data_GaCo3H
_symmetry_space_group_name_H-M 'P m -3 m'
_symmetry_Int_Tables_number 221
_symmetry_space_group_name_Hall '-P 4 2 3'
_cell_length_a 4.388
_cell_length_b 4.388
_cell_length_c 4.388
_cell_angle_alpha 90.00
_cell_angle_beta 90.00
_cell_angle_gamma 90.00
loop_
_atom_site_label
_atom_site_type_symbol
_atom_site_fract_x
_atom_site_fract_y
_atom_site_fract_z
_atom_site_occupancy
Ga1 Ga 0.000 0.000 0.000 1
Co1 Co 0.000 0.000 0.500 1
H1 H 0.500 0.500 0.500 1
# - VASP energy: -3.89 eV per atom
# - Theoretical density: 4.9 g/cm3

---

# PBE-GGA Tb5PmNd12, optimized geometry
data_Tb5PmNd12
_symmetry_space_group_name_H-M 'C m m m'
_symmetry_Int_Tables_number 65
_symmetry_space_group_name_Hall '-C 2 2'
_cell_length_a 15.463
_cell_length_b 15.475
_cell_length_c 5.161
_cell_angle_alpha 90.00
_cell_angle_beta 90.00
_cell_angle_gamma 90.00
loop_
_atom_site_label
_atom_site_type_symbol
_atom_site_fract_x
_atom_site_fract_y
_atom_site_fract_z
_atom_site_occupancy
Tb1 Tb 0.000 0.000 0.000 1
Tb2 Tb 0.000 0.167 0.500 1
Tb3 Tb 0.000 0.333 0.000 1
Pm1 Pm 0.000 0.500 0.500 1
Nd1 Nd 0.165 0.000 0.500 1
Nd2 Nd 0.165 0.166 0.000 1
Nd3 Nd 0.166 0.333 0.500 1
Nd4 Nd 0.166 0.500 0.000 1
# - DFT formation energy: 16 meV/atom
# - Theoretical density: 7.2 g/cm3

---

# PBE-GGA MgInSn3, optimized geometry
data_MgInSn3
_symmetry_space_group_name_H-M 'P -1'
_symmetry_Int_Tables_number 2
_cell_length_a 6.288
_cell_length_b 6.660
_cell_length_c 7.274
_cell_angle_alpha 110.80
_cell_angle_beta 99.69
_cell_angle_gamma 91.59
loop_
_symmetry_equiv_pos_as_xyz
'x,y,z'
'-x,-y,-z'
loop_
_atom_site_label
_atom_site_type_symbol
_atom_site_fract_x
_atom_site_fract_y
_atom_site_fract_z
_atom_site_occupancy
Mg1 Mg 0.129 0.223 0.130 1
In1 In 0.242 0.831 0.288 1
Sn1 Sn 0.000 0.500 0.500 1
Sn2 Sn 0.288 0.407 0.846 1
Sn3 Sn 0.329 0.927 0.792 1
Sn4 Sn 0.500 0.500 0.500 1
# - DFT formation energy: 40 meV/atom
# - Theoretical density: 5.9 g/cm3

---

# PBE-GGA CaZnGe, optimized geometry
data_CaZnGe
_symmetry_space_group_name_H-M 'P -6 m 2'
_symmetry_Int_Tables_number 187
_symmetry_space_group_name_Hall 'P -6 2'
_cell_length_a 4.2453
_cell_length_b 4.2453
_cell_length_c 4.3432
_cell_angle_alpha 90.00
_cell_angle_beta 90.00
_cell_angle_gamma 120.00
loop_
_atom_site_label
_atom_site_type_symbol
_atom_site_fract_x
_atom_site_fract_y
_atom_site_fract_z
_atom_site_occupancy
Ca1 Ca 0.0000 0.0000 0.0000 1
Zn1 Zn 0.3333 0.6667 0.5000 1
Ge1 Ge 0.6667 0.3333 0.5000 1
# - DFT formation energy: -484 meV/atom
# - Theoretical density: 4.4 g/cm3

---

# PBE-GGA Sc2RhBr, optimized geometry
data_Sc2RhBr
_symmetry_space_group_name_H-M 'I -4 2 d'
_symmetry_Int_Tables_number 122
_symmetry_space_group_name_Hall 'I -4 2bw'
_cell_length_a 6.984
_cell_length_b 6.984
_cell_length_c 7.567
_cell_angle_alpha 90.00
_cell_angle_beta 90.00
_cell_angle_gamma 90.00
loop_
_atom_site_label
_atom_site_type_symbol
_atom_site_fract_x
_atom_site_fract_y
_atom_site_fract_z
_atom_site_occupancy
Sc1 Sc 0.223 0.750 0.125 1
Rh1 Rh 0.000 0.000 0.000 1
Br1 Br 0.000 0.000 0.500 1
# - Theoretical density: 4.9 g/cm3
# - Formation energy without anion corrections: -0.5082 eV per atom

---

# PBE-GGA TbPr2Os, optimized geometry
data_TbPr2Os
_symmetry_space_group_name_H-M 'P n m a'
_symmetry_Int_Tables_number 62
_cell_length_a 7.471
_cell_length_b 9.642
_cell_length_c 6.497
_cell_angle_alpha 90.00
_cell_angle_beta 90.00
_cell_angle_gamma 90.00
loop_
_symmetry_equiv_pos_as_xyz
'x,y,z'
'-x,-y,-z'
'-x+1/2,-y,z+1/2'
'x+1/2,y,-z+1/2'
'x+1/2,-y+1/2,-z+1/2'
'-x+1/2,y+1/2,z+1/2'
'-x,y+1/2,-z'
'x,-y+1/2,z'
loop_
_atom_site_label
_atom_site_type_symbol
_atom_site_fract_x
_atom_site_fract_y
_atom_site_fract_z
_atom_site_occupancy
Tb1 Tb 0.044 0.250 0.144 1
Pr1 Pr 0.176 0.065 0.671 1
Os1 Os 0.116 0.750 0.462 1
# - DFT formation energy: -116 meV/atom
# - Theoretical density: 9.0 g/cm3